A relaxed ZnInFe2 crystal. Source: Alexandria, functional PBE.

abc: 3.8301 3.8301 3.9789
angles: 90.00 90.00 90.00
Space group P4/mmm (No. 123)
Inequivalent atoms, fractional coordinates:
Zn (0.0000, 0.0000, 0.0000) x1
In (0.5000, 0.5000, 0.0000) x1
Fe (0.0000, 0.5000, 0.5000) x2

Computed properties:
ΔH_f (0 K)   0.18 eV/atom
Total magnetic moment   4.63 μB/cell